No. 1
Compound: Co2Te4Au
Source: Alexandria via LeMat-Bulk
Functional: PBE
Structure: optimized geometry

Structure (extended XYZ):
```
14
Lattice="6.961 0.162 -3.443 -1.936 6.601 -3.608 -0.499 -0.491 7.733" Properties=species:S:1:pos:R:3 pbc="T T T"
Te 5.340 0.730 2.068
Te 5.551 0.936 -1.267
Te 1.997 0.846 4.075
Te 1.161 3.687 2.523
Te 4.447 4.040 -3.357
Te 4.504 3.572 0.515
Te 1.449 3.972 -1.876
Te 2.553 0.868 0.214
Co -0.230 2.127 4.017
Co 2.532 5.754 -3.375
Co 3.500 2.454 -1.572
Co 3.251 2.209 2.295
Au 0.039 4.746 0.300
Au 5.025 6.763 -7.050
```

Computed properties:
**Crystal system**: tetragonal
**Formation energy without anion corrections**: -0.177 eV/atom
**ρ**: 8.28 g/cm³
**Spin magnetization**: 0.000 μB/f.u.

No. 2
Compound: AgHg2F8
Source: Alexandria via LeMat-Bulk
Functional: PBE
Structure: optimized geometry

Structure (extended XYZ):
```
11
Lattice="4.730 0.000 0.000 0.000 5.909 -0.039 -2.365 -2.545 5.770" Properties=species:S:1:pos:R:3 pbc="T T T"
F 0.000 0.816 2.589
F 2.365 -0.963 5.241
F 0.000 4.327 0.490
F 2.365 1.812 0.726
F 2.365 2.548 3.142
F 2.365 -0.682 1.865
F 0.000 1.552 5.005
F 0.000 4.046 3.865
Hg 2.365 0.646 3.949
Hg 0.000 2.719 1.782
Ag 2.365 0.000 0.000
```

Computed properties:
**Crystal system**: monoclinic
**Energy above the most stable polymorph in this dataset**: 0.000 eV per atom
**Formation energy without anion corrections**: -1.088 eV/atom
**ρ**: 6.83 g/cm³
**Spin magnetization**: 0.806 μB/f.u.

No. 3
Compound: CuRh2
Source: Alexandria via LeMat-Bulk
Functional: PBE
Structure: optimized geometry

Structure (extended XYZ):
```
6
Lattice="-2.161 -2.532 -3.872 -0.146 -4.113 -3.023 -1.918 2.761 9.688" Properties=species:S:1:pos:R:3 pbc="T T T"
Cu -1.613 1.285 6.219
Cu -2.206 -3.539 -1.355
Rh -2.041 -0.356 4.179
Rh -1.892 -5.019 -4.853
Rh -1.778 -1.898 0.685
Rh -0.009 0.004 0.029
```

Computed properties:
**Crystal system**: monoclinic
**Energy above the most stable polymorph in this dataset**: 0.023 eV per atom
**ρ**: 10.92 g/cm³
**Spin magnetization**: 0.000 μB/f.u.